# CsTl3In

A relaxed CsTl3In crystal (PBE, Alexandria via LeMat-Bulk).

Calculated values
Crystal system: cubic
Polymorph energy (0 for the lowest one) in meV per atom: 164
Energy relative to the elements in eV/atom: 0.1052
Space group: Pm-3m
Calculated density in g/cm3: 6.5
VASP energy in eV for the cell shown: -10.16

a = 6.0493 Å, b = 6.0493 Å, c = 6.0493 Å
α = 90.00°, β = 90.00°, γ = 90.00°
Closest atoms and distances in Å follow each position.
Atoms (fractional coordinates):
Cs1 0.0000 0.0000 0.0000  12 Tl 4.28
Tl1 0.0000 0.5000 0.5000  2 In 3.02
Tl2 0.5000 0.0000 0.5000  2 In 3.02
Tl3 0.5000 0.5000 0.0000  2 In 3.02
In1 0.5000 0.5000 0.5000  6 Tl 3.02